12
Lattice="7.9785 -2.0321 0.0000 7.9785 2.0321 0.0000 -1.8817 0.0000 8.2130" Properties=species:S:1:pos:R:3 comment="KTbNiS3, relaxed, DFT PBE" energy_ev_per_atom=-5.080 pbc="T T T"
K 2.1947 0.0000 0.5827
K 11.8806 0.0000 7.6303
Ni 7.4856 0.0000 2.2755
Ni 6.5898 0.0000 5.9375
S 7.9785 0.0000 0.0000
S 5.2749 0.0000 1.7054
S 9.7942 0.0000 2.9542
S -0.9409 0.0000 4.1065
S 4.2811 0.0000 5.2589
S 8.8005 0.0000 6.5076
Tb 12.5287 0.0000 3.3578
Tb 1.5466 0.0000 4.8553